Material: Y2TlPt
Method: DFT, PBEsol
State: optimized geometry

CIF file:
```
data_Y2TlPt
_cell_length_a 3.528
_cell_length_b 3.528
_cell_length_c 7.479
_cell_angle_alpha 90.00
_cell_angle_beta 90.00
_cell_angle_gamma 90.00
_symmetry_space_group_name_H-M 'P 1'
_symmetry_Int_Tables_number 1
_symmetry_space_group_name_Hall 'P 1'
loop_
_atom_site_label
_atom_site_type_symbol
_atom_site_fract_x
_atom_site_fract_y
_atom_site_fract_z
_atom_site_occupancy
Y1 Y 0.000 0.000 0.780 1
Y2 Y 0.000 0.000 0.220 1
Tl1 Tl 0.500 0.500 0.500 1
Pt1 Pt 0.500 0.500 0.000 1
```

Values from the calculation:
Energy above the most stable polymorph in this dataset = 0 meV per atom
Space group = P4/mmm, No. 123
Crystal system = tetragonal
Energy of formation from the pure elements = -0.8199 eV per atom

=====

Material: ZnTc2Os
Method: DFT, PBEsol
State: optimized geometry

CIF file:
```
data_ZnTc2Os
_cell_length_a 2.708
_cell_length_b 2.708
_cell_length_c 8.917
_cell_angle_alpha 81.27
_cell_angle_beta 81.27
_cell_angle_gamma 60.00
_symmetry_space_group_name_H-M 'P 1'
_symmetry_Int_Tables_number 1
_symmetry_space_group_name_Hall 'P 1'
loop_
_atom_site_label
_atom_site_type_symbol
_atom_site_fract_x
_atom_site_fract_y
_atom_site_fract_z
_atom_site_occupancy
Tc1 Tc 0.749 0.749 0.754 1
Tc2 Tc 0.251 0.251 0.246 1
Os1 Os 0.000 0.000 0.000 1
Zn1 Zn 0.500 0.500 0.500 1
```

Values from the calculation:
Space group = R-3m, No. 166
Crystal system = trigonal
Energy of formation from the pure elements = 0.0760 eV per atom